a:
ScUNi4, optimized geometry, DFT GGA-PBE; crystal system = trigonal; calculated density = 10.2 g cm⁻³
1.0
4.8507 0.0000 0.0000
-2.4254 4.2008 0.0000
0.0000 0.0000 8.2597
Sc U Ni
2 2 8
Cartesian
0.0000 2.8006 3.6977 Sc
2.4254 1.4003 4.5620 Sc
0.0000 2.8006 0.5086 U
2.4254 1.4003 7.7510 U
0.0000 0.0000 0.0000 Ni
0.0000 0.0000 4.1298 Ni
0.0000 1.3884 6.1654 Ni
-1.2230 3.5067 6.1654 Ni
1.2024 0.6942 2.0943 Ni
1.2230 3.5067 6.1654 Ni
3.6484 0.6942 2.0943 Ni
2.4254 2.8125 2.0943 Ni


b:
ScUNi4, optimized geometry, DFT GGA-PBE; crystal system = cubic; calculated density = 10.0 g cm⁻³
1.0
0.0000 3.5028 3.5028
3.5028 0.0000 3.5028
3.5028 3.5028 0.0000
Sc U Ni
1 1 4
Cartesian
0.0000 0.0000 0.0000 Sc
1.7514 1.7514 1.7514 U
4.3816 2.6240 2.6240 Ni
2.6240 4.3816 2.6240 Ni
2.6240 2.6240 4.3816 Ni
4.3816 4.3816 4.3816 Ni


Of them, the most stable is a and the least stable is b.


a:
Sc2VNi, optimized geometry, DFT GGA-PBE; crystal system = cubic; calculated density = 4.7 g cm⁻³
1.0
0.0000 3.2681 3.2681
3.2681 0.0000 3.2681
3.2681 3.2681 0.0000
Sc V Ni
2 1 1
Cartesian
1.6341 1.6341 1.6341 Sc
4.9022 4.9022 4.9022 Sc
0.0000 0.0000 0.0000 V
3.2681 3.2681 3.2681 Ni


b:
Sc2VNi, optimized geometry, DFT GGA-PBE; crystal system = tetragonal; calculated density = 4.8 g cm⁻³
1.0
4.5592 0.0000 0.0000
0.0000 4.5592 0.0000
0.0000 0.0000 3.3546
Sc V Ni
2 1 1
Cartesian
0.0000 2.2796 0.0000 Sc
2.2796 0.0000 0.0000 Sc
0.0000 0.0000 1.6773 V
2.2796 2.2796 1.6773 Ni


Of them, the most stable is b and the least stable is a.


a:
ScV2Ni, optimized geometry, DFT GGA-PBE; crystal system = cubic; calculated density = 6.0 g cm⁻³
1.0
0.0000 3.0605 3.0605
3.0605 0.0000 3.0605
3.0605 3.0605 0.0000
Sc V Ni
1 2 1
Cartesian
0.0000 0.0000 0.0000 Sc
1.5302 1.5302 1.5302 V
4.5907 4.5907 4.5907 V
3.0605 3.0605 3.0605 Ni


b:
ScV2Ni, optimized geometry, DFT GGA-PBE; crystal system = tetragonal; calculated density = 5.4 g cm⁻³
1.0
-3.5384 3.5384 2.5082
3.5384 -3.5384 2.5082
3.5384 3.5384 -2.5082
Sc V Ni
2 4 2
Cartesian
0.0000 0.0000 0.0000 Sc
0.0000 3.5384 1.2541 Sc
1.7692 -1.4573 1.8811 V
2.0811 1.7692 0.6270 V
1.7692 4.9957 -0.6270 V
1.4573 1.7692 3.1352 V
3.5384 0.0000 1.2541 Ni
0.0000 0.0000 2.5082 Ni


Of them, the most stable is a and the least stable is b.


a:
ScV2Ni2, optimized geometry, DFT GGA-PBE; crystal system = tetragonal; calculated density = 6.0 g cm⁻³
1.0
-1.7510 1.7510 5.9640
1.7510 -1.7510 5.9640
1.7510 1.7510 -5.9640
Sc V Ni
1 2 2
Cartesian
0.0000 0.0000 0.0000 Sc
1.7510 0.0000 2.9820 V
0.0000 1.7510 2.9820 V
0.0000 0.0000 4.7800 Ni
0.0000 0.0000 7.1481 Ni


b:
ScV2Ni2, optimized geometry, DFT GGA-PBE; crystal system = tetragonal; calculated density = 6.2 g cm⁻³
1.0
7.0569 0.0000 0.0000
0.0000 7.0569 0.0000
0.0000 0.0000 2.8302
Sc V Ni
2 4 4
Cartesian
0.0000 0.0000 0.0000 Sc
3.5284 3.5284 0.0000 Sc
1.1917 2.3367 1.4151 V
2.3367 5.8651 1.4151 V
4.7202 1.1917 1.4151 V
5.8651 4.7202 1.4151 V
0.8730 4.4014 0.0000 Ni
2.6555 0.8730 0.0000 Ni
4.4014 6.1839 0.0000 Ni
6.1839 2.6555 0.0000 Ni


Of them, the most stable is a and the least stable is b.


a:
ScV2Ni2, optimized geometry, DFT GGA-PBE; crystal system = tetragonal; calculated density = 5.8 g cm⁻³
1.0
-1.9064 1.9064 5.1791
1.9064 -1.9064 5.1791
1.9064 1.9064 -5.1791
Sc V Ni
1 2 2
Cartesian
0.0000 0.0000 0.0000 Sc
0.0000 0.0000 4.0331 V
0.0000 0.0000 6.3251 V
1.9064 0.0000 2.5895 Ni
0.0000 1.9064 2.5895 Ni


b:
ScV2Ni2, optimized geometry, DFT GGA-PBE; crystal system = tetragonal; calculated density = 6.3 g cm⁻³
1.0
7.3569 0.0000 0.0000
0.0000 7.3569 0.0000
0.0000 0.0000 2.5795
Sc V Ni
2 4 4
Cartesian
0.0000 0.0000 0.0000 Sc
3.6785 3.6785 0.0000 Sc
0.8513 2.8272 0.0000 V
2.8272 6.5057 0.0000 V
4.5297 0.8513 0.0000 V
6.5057 4.5297 0.0000 V
1.3153 4.9938 1.2897 Ni
2.3632 1.3153 1.2897 Ni
4.9938 6.0417 1.2897 Ni
6.0417 2.3632 1.2897 Ni


Of them, the most stable is b and the least stable is a.


a:
ScVNi, optimized geometry, DFT GGA-PBE; crystal system = triclinic; calculated density = 5.5 g cm⁻³
1.0
3.0169 0.0000 0.0000
-1.4509 4.6428 0.0000
-1.5024 -0.6598 6.6232
Sc V Ni
2 2 2
Cartesian
0.0111 1.3226 1.1205 Sc
0.0524 2.6603 5.5027 Sc
-1.4828 3.2385 3.0145 V
1.5464 0.7445 3.6087 V
0.0070 0.0897 5.4694 Ni
0.0565 3.8932 1.1538 Ni


b:
ScVNi, optimized geometry, DFT GGA-PBE; crystal system = monoclinic; calculated density = 5.6 g cm⁻³
1.0
3.0077 0.0000 0.0000
0.0000 4.1755 0.0000
-1.4698 0.0000 7.3259
Sc V Ni
2 2 2
Cartesian
0.0192 1.0439 1.1489 Sc
1.5187 3.1316 6.1770 Sc
0.0158 3.1316 3.5669 V
1.5221 1.0439 3.7590 V
0.0170 1.0439 5.6940 Ni
1.5209 3.1316 1.6319 Ni


Of them, the most stable is b and the least stable is a.


a:
ScVNi, optimized geometry, DFT GGA-PBE; crystal system = orthorhombic; calculated density = 5.6 g cm⁻³
1.0
-2.3860 2.6121 3.6624
2.3860 -2.6121 3.6624
2.3860 2.6121 -3.6624
Sc V Ni
2 2 2
Cartesian
0.0000 1.3060 0.8868 Sc
2.3860 1.3060 2.7756 Sc
1.1930 1.3060 -1.8312 V
1.1930 -1.3060 1.8312 V
2.3860 0.0000 0.0000 Ni
0.0000 0.0000 3.6624 Ni


b:
ScVNi, optimized geometry, DFT GGA-PBE; crystal system = tetragonal; calculated density = 5.5 g cm⁻³
1.0
-1.4832 1.4832 5.2909
1.4832 -1.4832 5.2909
1.4832 1.4832 -5.2909
Sc V Ni
1 1 1
Cartesian
0.0000 0.0000 0.0000 Sc
0.0000 0.0000 3.2670 V
0.0000 0.0000 7.3175 Ni


Of them, the most stable is a and the least stable is b.


a:
ScVNi, optimized geometry, DFT GGA-PBE; crystal system = orthorhombic; calculated density = 5.5 g cm⁻³
1.0
3.0827 0.0000 0.0000
0.0000 4.0765 0.0000
0.0000 0.0000 7.4228
Sc V Ni
2 2 2
Cartesian
0.7707 1.0191 1.1120 Sc
2.3120 3.0574 6.3108 Sc
0.7707 3.0574 3.6093 V
2.3120 1.0191 3.8135 V
0.7707 1.0191 5.6777 Ni
2.3120 3.0574 1.7451 Ni


b:
ScVNi, optimized geometry, DFT GGA-PBE; crystal system = orthorhombic; calculated density = 5.5 g cm⁻³
1.0
-1.5170 2.0415 7.5130
1.5170 -2.0415 7.5130
1.5170 2.0415 -7.5130
Sc V Ni
2 2 2
Cartesian
0.0000 0.0000 2.6500 Sc
0.0000 0.0000 12.3760 Sc
1.5170 0.0000 0.0000 V
0.0000 2.0415 0.0000 V
0.0000 0.0000 5.5599 Ni
0.0000 0.0000 9.4661 Ni


Of them, the most stable is a and the least stable is b.


a:
Sc2NiW, optimized geometry, DFT GGA-PBE; crystal system = orthorhombic; calculated density = 8.0 g cm⁻³
1.0
2.0510 -2.1325 0.0000
2.0510 2.1325 0.0000
0.0000 0.0000 7.8517
Sc Ni W
2 1 1
Cartesian
0.0000 0.0000 1.7400 Sc
0.0000 0.0000 6.1117 Sc
2.0510 0.0000 0.0000 Ni
2.0510 0.0000 3.9259 W


b:
Sc2NiW, optimized geometry, DFT GGA-PBE; crystal system = monoclinic; calculated density = 7.8 g cm⁻³
1.0
2.9514 0.0000 0.0000
0.0000 4.5399 0.0000
-1.1217 0.0000 5.2731
Sc Ni W
2 1 1
Cartesian
0.0000 0.0000 0.0000 Sc
-0.0469 2.2699 3.5084 Sc
1.1784 0.0000 2.4202 Ni
1.6429 2.2699 1.0619 W


Of them, the most stable is a and the least stable is b.


a:
Sc2NiW, optimized geometry, DFT GGA-PBE; crystal system = tetragonal; calculated density = 8.0 g cm⁻³
1.0
-1.9573 1.9573 4.5286
1.9573 -1.9573 4.5286
1.9573 1.9573 -4.5286
Sc Ni W
2 1 1
Cartesian
0.0000 0.0000 0.0000 Sc
0.0000 1.9573 2.2643 Sc
0.0000 0.0000 4.5286 Ni
1.9573 0.0000 2.2643 W


b:
Sc2NiW, optimized geometry, DFT GGA-PBE; crystal system = orthorhombic; calculated density = 7.7 g cm⁻³
1.0
2.0679 -2.0741 0.0000
2.0679 2.0741 0.0000
0.0000 0.0000 8.3962
Sc Ni W
2 1 1
Cartesian
0.0000 0.0000 0.0000 Sc
2.0679 0.0000 2.8573 Sc
2.0679 0.0000 6.5606 Ni
0.0000 0.0000 4.9815 W


c:
Sc2NiW, optimized geometry, DFT GGA-PBE; crystal system = orthorhombic; calculated density = 8.0 g cm⁻³
1.0
3.4794 0.0000 0.0000
0.0000 4.1547 0.0000
0.0000 0.0000 4.7641
Sc Ni W
2 1 1
Cartesian
0.0000 0.0000 0.0000 Sc
1.7397 0.0000 2.3820 Sc
0.0000 2.0774 2.3820 Ni
1.7397 2.0774 0.0000 W


d:
Sc2NiW, optimized geometry, DFT GGA-PBE; crystal system = cubic; calculated density = 8.0 g cm⁻³
1.0
0.0000 3.2606 3.2606
3.2606 0.0000 3.2606
3.2606 3.2606 0.0000
Sc Ni W
2 1 1
Cartesian
1.6303 1.6303 1.6303 Sc
4.8908 4.8908 4.8908 Sc
0.0000 0.0000 0.0000 Ni
3.2606 3.2606 3.2606 W


Of them, the most stable is b and the least stable is c.


a:
Sc2NiW, optimized geometry, DFT GGA-PBE; crystal system = cubic; calculated density = 8.2 g cm⁻³
1.0
0.0000 3.2314 3.2314
3.2314 0.0000 3.2314
3.2314 3.2314 0.0000
Sc Ni W
2 1 1
Cartesian
0.0000 0.0000 0.0000 Sc
1.6157 1.6157 1.6157 Sc
4.8471 4.8471 4.8471 Ni
3.2314 3.2314 3.2314 W


b:
Sc2NiW, optimized geometry, DFT GGA-PBE; crystal system = trigonal; calculated density = 7.6 g cm⁻³
1.0
1.5043 0.8685 9.2671
-1.5043 0.8685 9.2671
0.0000 -1.7371 9.2671
Sc Ni W
2 1 1
Cartesian
0.0000 0.0000 0.0000 Sc
0.0000 0.0000 6.3345 Sc
0.0000 0.0000 20.6076 Ni
0.0000 0.0000 13.2744 W


c:
Sc2NiW, optimized geometry, DFT GGA-PBE; crystal system = monoclinic; calculated density = 7.9 g cm⁻³
1.0
5.2137 -1.4686 0.0000
5.2137 1.4686 0.0000
-2.0877 0.0000 4.5906
Sc Ni W
2 1 1
Cartesian
0.0000 0.0000 0.0000 Sc
0.7497 0.0000 2.9059 Sc
7.4175 0.0000 0.4200 Ni
3.5050 0.0000 2.0655 W


d:
Sc2NiW, optimized geometry, DFT GGA-PBE; crystal system = trigonal; calculated density = 7.6 g cm⁻³
1.0
1.4861 0.8580 9.5129
-1.4861 0.8580 9.5129
0.0000 -1.7160 9.5129
Sc Ni W
2 1 1
Cartesian
0.0000 0.0000 2.4188 Sc
0.0000 0.0000 26.1199 Sc
0.0000 0.0000 0.0000 Ni
0.0000 0.0000 14.2693 W


Of them, the most stable is c and the least stable is d.


a:
Sc3NiW, optimized geometry, DFT GGA-PBE; crystal system = cubic; calculated density = 6.0 g cm⁻³
1.0
4.7203 0.0000 0.0000
0.0000 4.7203 0.0000
0.0000 0.0000 4.7203
Sc Ni W
3 1 1
Cartesian
0.0000 0.0000 2.3602 Sc
0.0000 2.3602 0.0000 Sc
2.3602 0.0000 0.0000 Sc
0.0000 0.0000 0.0000 Ni
2.3602 2.3602 2.3602 W


b:
Sc3NiW, optimized geometry, DFT GGA-PBE; crystal system = cubic; calculated density = 5.0 g cm⁻³
1.0
5.0026 0.0000 0.0000
0.0000 5.0026 0.0000
0.0000 0.0000 5.0026
Sc Ni W
3 1 1
Cartesian
0.0000 0.0000 2.5013 Sc
0.0000 2.5013 0.0000 Sc
2.5013 0.0000 0.0000 Sc
2.5013 2.5013 2.5013 Ni
0.0000 0.0000 0.0000 W


Of them, the most stable is a and the least stable is b.